# 1
Hg4WAu (PBE, optimized geometry); calculated volume = 22.15 A^3/atom; ΔH_f (0 K) = 1048 meV/atom
1.0
0.000 4.051 4.051
4.051 0.000 4.051
4.051 4.051 0.000
Hg W Au
4 1 1
direct
0.125 0.125 0.125
0.125 0.125 0.625
0.125 0.625 0.125
0.625 0.125 0.125
0.750 0.750 0.750
0.500 0.500 0.500

# 2
HgW3Au (PBE, optimized geometry); excess energy over the best structure of this formula in the dataset = 0.0 meV/atom; calculated volume = 23.00 A^3/atom; ΔH_f (0 K) = 2631 meV/atom
1.0
4.863 0.000 0.000
0.000 4.863 0.000
0.000 0.000 4.863
Hg W Au
1 3 1
direct
0.000 0.000 0.000
0.000 0.500 0.500
0.500 0.000 0.500
0.500 0.500 0.000
0.500 0.500 0.500

# 3
Y4HgAu3 (PBE, optimized geometry); calculated volume = 24.08 A^3/atom; ΔH_f (0 K) = -764 meV/atom
1.0
3.636 0.000 0.000
0.000 5.148 0.000
0.000 0.000 10.291
Y Hg Au
4 1 3
direct
0.000 0.000 0.000
0.000 0.000 0.500
0.000 0.500 0.243
0.000 0.500 0.757
0.500 0.500 0.500
0.500 0.000 0.254
0.500 0.000 0.746
0.500 0.500 0.000

# 4
Y2Hg5Au (PBE, optimized geometry); calculated volume = 26.12 A^3/atom; ΔH_f (0 K) = -262 meV/atom
1.0
2.375 1.371 10.694
-2.375 1.371 10.694
0.000 -2.742 10.694
Y Hg Au
2 5 1
direct
0.093 0.093 0.093
0.907 0.907 0.907
0.202 0.202 0.202
0.372 0.372 0.372
0.500 0.500 0.500
0.628 0.628 0.628
0.798 0.798 0.798
0.000 0.000 0.000

# 5
Y4HgAu (PBE, optimized geometry); excess energy over the best structure of this formula in the dataset = 600.5 meV/atom; calculated volume = 27.97 A^3/atom; ΔH_f (0 K) = 302 meV/atom
1.0
0.000 4.378 4.378
4.378 0.000 4.378
4.378 4.378 0.000
Y Hg Au
4 1 1
direct
0.125 0.125 0.125
0.125 0.125 0.625
0.125 0.625 0.125
0.625 0.125 0.125
0.500 0.500 0.500
0.750 0.750 0.750

# 6
Y6HgAu5 (PBE, optimized geometry); calculated volume = 23.86 A^3/atom; ΔH_f (0 K) = -800 meV/atom
1.0
-2.567 3.618 7.707
2.567 -3.618 7.707
2.567 3.618 -7.707
Y Hg Au
6 1 5
direct
0.077 0.330 0.747
0.243 0.000 0.243
0.416 0.670 0.747
0.584 0.330 0.253
0.757 0.000 0.757
0.923 0.670 0.253
0.500 0.500 0.000
0.000 0.500 0.500
0.167 0.167 0.000
0.339 0.839 0.500
0.661 0.161 0.500
0.833 0.833 0.000

# 7
Y5Hg4Au (PBE, optimized geometry); calculated volume = 25.41 A^3/atom; ΔH_f (0 K) = -580 meV/atom
1.0
3.702 0.000 0.000
0.000 3.702 0.000
0.000 0.000 18.543
Y Hg Au
5 4 1
direct
0.000 0.000 0.000
0.000 0.000 0.203
0.000 0.000 0.406
0.000 0.000 0.594
0.000 0.000 0.797
0.500 0.500 0.102
0.500 0.500 0.302
0.500 0.500 0.698
0.500 0.500 0.898
0.500 0.500 0.500

# 8
YHgAu (PBE, optimized geometry); calculated volume = 26.12 A^3/atom; ΔH_f (0 K) = -438 meV/atom
1.0
4.309 0.000 0.000
-2.154 3.732 0.000
0.000 0.000 4.873
Y Hg Au
1 1 1
direct
0.000 0.000 0.000
0.333 0.667 0.609
0.667 0.333 0.318

# 9
YHg3Au (PBE, optimized geometry); excess energy over the best structure of this formula in the dataset = 368.5 meV/atom; calculated volume = 40.87 A^3/atom; ΔH_f (0 K) = 548 meV/atom
1.0
5.890 0.000 0.000
0.000 5.890 0.000
0.000 0.000 5.890
Y Hg Au
1 3 1
direct
0.000 0.000 0.000
0.000 0.000 0.500
0.000 0.500 0.000
0.500 0.000 0.000
0.500 0.500 0.500

# 10
Y2HgAu3 (PBE, optimized geometry); calculated volume = 22.44 A^3/atom; ΔH_f (0 K) = -672 meV/atom
1.0
0.000 4.812 8.255
3.390 0.000 8.255
3.390 4.812 0.000
Y Hg Au
4 2 6
direct
0.246 0.754 0.754
0.250 0.250 0.250
0.750 0.750 0.750
0.754 0.246 0.246
0.333 0.333 0.667
0.667 0.667 0.333
0.165 0.165 0.835
0.166 0.667 0.333
0.333 0.834 0.166
0.667 0.166 0.834
0.834 0.333 0.667
0.835 0.835 0.165

# 11
YHgAu (PBE, optimized geometry); calculated volume = 23.22 A^3/atom; ΔH_f (0 K) = -631 meV/atom
1.0
13.822 0.000 0.000
0.000 3.822 0.000
0.000 0.000 7.913
Y Hg Au
6 6 6
direct
0.052 0.000 0.236
0.250 0.000 0.827
0.448 0.000 0.236
0.552 0.000 0.764
0.750 0.000 0.173
0.948 0.000 0.764
0.105 0.500 0.566
0.250 0.500 0.173
0.395 0.500 0.566
0.605 0.500 0.434
0.750 0.500 0.827
0.895 0.500 0.434
0.094 0.500 0.933
0.250 0.000 0.445
0.406 0.500 0.933
0.594 0.500 0.067
0.750 0.000 0.555
0.906 0.500 0.067

# 12
YHgAu (PBE, optimized geometry); calculated volume = 24.44 A^3/atom; ΔH_f (0 K) = -542 meV/atom
1.0
5.296 0.000 0.000
-2.648 4.586 0.000
0.000 0.000 6.036
Y Hg Au
2 2 2
direct
0.333 0.667 0.250
0.667 0.333 0.750
0.000 0.000 0.250
0.000 0.000 0.750
0.333 0.667 0.750
0.667 0.333 0.250

# 13
Y3HgAu4 (PBE, optimized geometry); calculated volume = 22.66 A^3/atom; ΔH_f (0 K) = -710 meV/atom
1.0
4.939 0.000 0.000
0.000 4.939 0.000
0.000 0.000 7.434
Y Hg Au
3 1 4
direct
0.000 0.000 0.000
0.000 0.000 0.500
0.500 0.500 0.000
0.500 0.500 0.500
0.000 0.500 0.242
0.000 0.500 0.758
0.500 0.000 0.242
0.500 0.000 0.758

# 14
Y4Hg5Au (PBE, optimized geometry); calculated volume = 24.80 A^3/atom; ΔH_f (0 K) = -507 meV/atom
1.0
7.778 -2.566 0.000
7.778 2.566 0.000
-1.779 0.000 6.213
Y Hg Au
4 5 1
direct
0.089 0.089 0.366
0.315 0.315 0.199
0.685 0.685 0.801
0.911 0.911 0.634
0.109 0.109 0.905
0.290 0.290 0.681
0.500 0.500 0.000
0.710 0.710 0.319
0.891 0.891 0.095
0.500 0.500 0.500

# 15
YHgAu (PBE, optimized geometry); calculated volume = 23.11 A^3/atom; ΔH_f (0 K) = -658 meV/atom
1.0
5.116 0.000 0.000
-2.558 4.431 0.000
0.000 0.000 6.116
Y Hg Au
2 2 2
direct
0.333 0.667 0.250
0.667 0.333 0.750
0.000 0.000 0.000
0.000 0.000 0.500
0.333 0.667 0.750
0.667 0.333 0.250

# 16
YHgAu (PBE, optimized geometry); calculated volume = 26.15 A^3/atom; ΔH_f (0 K) = -518 meV/atom
1.0
0.000 3.398 3.398
3.398 0.000 3.398
3.398 3.398 0.000
Y Hg Au
1 1 1
direct
0.000 0.000 0.000
0.500 0.500 0.500
0.750 0.750 0.750

# 17
Y3Hg4Au2 (PBE, optimized geometry); calculated volume = 23.91 A^3/atom; ΔH_f (0 K) = -532 meV/atom
1.0
7.128 -5.753 0.000
7.128 5.753 0.000
-0.943 0.000 5.249
Y Hg Au
6 8 4
direct
0.116 0.884 0.750
0.199 0.459 0.920
0.459 0.199 0.420
0.541 0.801 0.580
0.801 0.541 0.080
0.884 0.116 0.250
0.100 0.336 0.365
0.317 0.570 0.474
0.336 0.100 0.865
0.430 0.683 0.026
0.570 0.317 0.974
0.664 0.900 0.135
0.683 0.430 0.526
0.900 0.664 0.635
0.021 0.761 0.190
0.239 0.979 0.310
0.761 0.021 0.690
0.979 0.239 0.810

# 18
YHgAu (PBE, optimized geometry); calculated volume = 23.00 A^3/atom; ΔH_f (0 K) = -591 meV/atom
1.0
4.823 0.000 0.000
-2.412 4.177 0.000
0.000 0.000 3.425
Y Hg Au
1 1 1
direct
0.000 0.000 0.000
0.333 0.667 0.500
0.667 0.333 0.500

# 19
YHgAu (PBE, optimized geometry); calculated volume = 22.91 A^3/atom; ΔH_f (0 K) = -609 meV/atom
1.0
-1.919 1.919 4.665
1.919 -1.919 4.665
1.919 1.919 -4.665
Y Hg Au
1 1 1
direct
0.000 0.000 0.000
0.674 0.674 0.000
0.340 0.340 0.000

# 20
Y3Hg2Au2 (PBE, optimized geometry); calculated volume = 24.61 A^3/atom; ΔH_f (0 K) = -636 meV/atom
1.0
1.991 -11.812 0.000
1.991 11.812 0.000
0.000 0.000 3.663
Y Hg Au
3 2 2
direct
0.000 0.000 0.000
0.158 0.842 0.000
0.842 0.158 0.000
0.424 0.576 0.500
0.576 0.424 0.500
0.291 0.709 0.500
0.709 0.291 0.500